[1]
Crystalline PaSbAu2 at its relaxed geometry. Source: Alexandria via LeMat-Bulk, functional PBE-GGA.

Calculated values
Relative energy among the computed polymorphs, eV per formula unit: 0.20
Uncorrected formation energy, eV/atom: -0.31
Symmetry: P4/mmm (123)
Crystal system: tetragonal

Cell and atoms, written as POSCAR:
```
PaSbAu2
1.0
4.375 0.000 0.000
0.000 4.375 0.000
0.000 0.000 4.713
Pa Sb Au
1 1 2
direct
0.000 0.000 0.000 Pa
0.500 0.500 0.000 Sb
0.000 0.500 0.500 Au
0.500 0.000 0.500 Au
```


[2]
Crystalline KMoPb3 at its relaxed geometry. Source: Alexandria via LeMat-Bulk, functional PBE-GGA.

Calculated values
Relative energy among the computed polymorphs, eV per formula unit: 0.00
Symmetry: Pm-3m (221)
Crystal system: cubic

Cell and atoms, written as POSCAR:
```
KMoPb3
1.0
5.491 0.000 0.000
0.000 5.491 0.000
0.000 0.000 5.491
K Mo Pb
1 1 3
direct
0.000 0.000 0.000 K
0.500 0.500 0.500 Mo
0.000 0.500 0.500 Pb
0.500 0.000 0.500 Pb
0.500 0.500 0.000 Pb
```


[3]
Crystalline Sm2Dy8Sc at its relaxed geometry. Source: Alexandria via LeMat-Bulk, functional PBE-GGA.

Calculated values
Relative energy among the computed polymorphs, eV per formula unit: 0.00
Symmetry: C2/m (12)
Crystal system: monoclinic

Cell and atoms, written as POSCAR:
```
Sm2Dy8Sc
1.0
9.008 -2.496 0.000
9.008 2.496 0.000
-2.088 0.000 7.627
Sm Dy Sc
2 8 1
direct
0.226 0.226 0.136 Sm
0.774 0.774 0.864 Sm
0.044 0.044 0.230 Dy
0.134 0.134 0.677 Dy
0.320 0.320 0.591 Dy
0.411 0.411 0.051 Dy
0.589 0.589 0.949 Dy
0.680 0.680 0.409 Dy
0.866 0.866 0.323 Dy
0.956 0.956 0.770 Dy
0.500 0.500 0.500 Sc
```


[4]
Crystalline Cd8Cu2Pd at its relaxed geometry. Source: Alexandria via LeMat-Bulk, functional PBE-GGA.

Calculated values
Electronic total energy, eV per atom: -1.937
Symmetry: C2/m (12)
Crystal system: monoclinic

Cell and atoms, written as POSCAR:
```
Cd8Cu2Pd
1.0
7.489 -2.242 0.000
7.489 2.242 0.000
-3.521 0.000 6.354
Cd Cu Pd
8 2 1
direct
0.001 0.001 0.200 Cd
0.154 0.154 0.655 Cd
0.347 0.347 0.629 Cd
0.348 0.348 0.065 Cd
0.652 0.652 0.935 Cd
0.653 0.653 0.371 Cd
0.846 0.846 0.345 Cd
0.999 0.999 0.800 Cd
0.190 0.190 0.189 Cu
0.810 0.810 0.811 Cu
0.500 0.500 0.500 Pd
```


[5]
Crystalline AcTiSb2 at its relaxed geometry. Source: Alexandria via LeMat-Bulk, functional PBE-GGA.

Calculated values
Relative energy among the computed polymorphs, eV per formula unit: 0.00
Uncorrected formation energy, eV/atom: -0.69
Symmetry: R-3m (166)
Crystal system: trigonal

Cell and atoms, written as POSCAR:
```
AcTiSb2
1.0
4.337 0.000 0.000
-2.169 3.756 0.000
0.000 0.000 21.617
Ac Ti Sb
3 3 6
direct
0.000 0.000 0.000 Ac
0.333 0.667 0.667 Ac
0.667 0.333 0.333 Ac
0.000 0.000 0.500 Ti
0.333 0.667 0.167 Ti
0.667 0.333 0.833 Ti
0.000 0.000 0.232 Sb
0.000 0.000 0.768 Sb
0.333 0.667 0.434 Sb
0.333 0.667 0.899 Sb
0.667 0.333 0.101 Sb
0.667 0.333 0.566 Sb
```


[6]
Crystalline Na3TeAs at its relaxed geometry. Source: Alexandria via LeMat-Bulk, functional PBE-GGA.

Calculated values
Relative energy among the computed polymorphs, eV per formula unit: 1.90
Uncorrected formation energy, eV/atom: -0.15
Symmetry: Pm-3m (221)
Crystal system: cubic

Cell and atoms, written as POSCAR:
```
Na3TeAs
1.0
5.824 0.000 0.000
0.000 5.824 0.000
0.000 0.000 5.824
Na Te As
3 1 1
direct
0.000 0.000 0.500 Na
0.000 0.500 0.000 Na
0.500 0.000 0.000 Na
0.000 0.000 0.000 Te
0.500 0.500 0.500 As
```


[7]
Crystalline MgCdSi2 at its relaxed geometry. Source: Alexandria via LeMat-Bulk, functional PBE-GGA.

Calculated values
Relative energy among the computed polymorphs, eV per formula unit: 0.68
Uncorrected formation energy, eV/atom: 0.38
Symmetry: F-43m (216)
Crystal system: cubic

Cell and atoms, written as POSCAR:
```
MgCdSi2
1.0
6.737 0.000 0.000
0.000 6.737 0.000
0.000 0.000 6.737
Mg Cd Si
4 4 8
direct
0.000 0.000 0.000 Mg
0.000 0.500 0.500 Mg
0.500 0.000 0.500 Mg
0.500 0.500 0.000 Mg
0.250 0.250 0.750 Cd
0.250 0.750 0.250 Cd
0.750 0.250 0.250 Cd
0.750 0.750 0.750 Cd
0.000 0.000 0.500 Si
0.000 0.500 0.000 Si
0.250 0.250 0.250 Si
0.250 0.750 0.750 Si
0.500 0.000 0.000 Si
0.500 0.500 0.500 Si
0.750 0.250 0.750 Si
0.750 0.750 0.250 Si
```


[8]
Crystalline Y12Er2Sc at its relaxed geometry. Source: Alexandria via LeMat-Bulk, functional PBE-GGA.

Calculated values
Electronic total energy, eV per atom: -5.833
Symmetry: P4/nbm (125)
Crystal system: tetragonal

Cell and atoms, written as POSCAR:
```
Y12Er2Sc
1.0
6.417 0.000 0.000
0.000 6.417 0.000
0.000 0.000 24.750
Y Er Sc
24 4 2
direct
0.064 0.564 0.110 Y
0.064 0.936 0.890 Y
0.081 0.581 0.438 Y
0.081 0.919 0.562 Y
0.250 0.250 0.211 Y
0.250 0.250 0.336 Y
0.250 0.250 0.664 Y
0.250 0.250 0.789 Y
0.419 0.581 0.562 Y
0.419 0.919 0.438 Y
0.436 0.564 0.890 Y
0.436 0.936 0.110 Y
0.564 0.064 0.890 Y
0.564 0.436 0.110 Y
0.581 0.081 0.562 Y
0.581 0.419 0.438 Y
0.750 0.750 0.211 Y
0.750 0.750 0.336 Y
0.750 0.750 0.664 Y
0.750 0.750 0.789 Y
0.919 0.081 0.438 Y
0.919 0.419 0.562 Y
0.936 0.064 0.110 Y
0.936 0.436 0.890 Y
0.250 0.750 0.271 Er
0.250 0.750 0.729 Er
0.750 0.250 0.271 Er
0.750 0.250 0.729 Er
0.250 0.750 0.000 Sc
0.750 0.250 0.000 Sc
```


[9]
Crystalline Bi2PdI at its relaxed geometry. Source: Alexandria via LeMat-Bulk, functional PBE-GGA.

Calculated values
Relative energy among the computed polymorphs, eV per formula unit: 0.00
Uncorrected formation energy, eV/atom: -0.23
Symmetry: R3m (160)
Crystal system: trigonal

Cell and atoms, written as POSCAR:
```
Bi2PdI
1.0
4.419 0.000 0.000
-2.209 3.827 0.000
0.000 0.000 22.511
Bi Pd I
6 3 3
direct
0.000 0.000 0.000 Bi
0.000 0.000 0.227 Bi
0.333 0.667 0.667 Bi
0.333 0.667 0.894 Bi
0.667 0.333 0.333 Bi
0.667 0.333 0.560 Bi
0.000 0.000 0.612 Pd
0.333 0.667 0.279 Pd
0.667 0.333 0.946 Pd
0.000 0.000 0.447 I
0.333 0.667 0.113 I
0.667 0.333 0.780 I
```


[10]
Crystalline LiSi2Cl at its relaxed geometry. Source: Alexandria via LeMat-Bulk, functional PBE-GGA.

Calculated values
Relative energy among the computed polymorphs, eV per formula unit: 2.97
Uncorrected formation energy, eV/atom: 0.07
Symmetry: Cmmm (65)
Crystal system: orthorhombic

Cell and atoms, written as POSCAR:
```
LiSi2Cl
1.0
4.678 0.000 0.000
0.000 14.190 0.000
0.000 0.000 2.697
Li Si Cl
2 4 2
direct
0.000 0.000 0.000 Li
0.500 0.500 0.000 Li
0.250 0.250 0.500 Si
0.250 0.750 0.500 Si
0.750 0.250 0.500 Si
0.750 0.750 0.500 Si
0.000 0.500 0.000 Cl
0.500 0.000 0.000 Cl
```


[11]
Crystalline CrNi2Ir at its relaxed geometry. Source: Alexandria via LeMat-Bulk, functional PBE-GGA.

Calculated values
Electronic total energy, eV per atom: -7.562
Symmetry: I4/mmm (139)
Crystal system: tetragonal

Cell and atoms, written as POSCAR:
```
CrNi2Ir
1.0
3.624 0.000 0.000
0.000 3.624 0.000
0.000 0.000 7.404
Cr Ni Ir
2 4 2
direct
0.000 0.000 0.000 Cr
0.500 0.500 0.500 Cr
0.000 0.500 0.250 Ni
0.000 0.500 0.750 Ni
0.500 0.000 0.250 Ni
0.500 0.000 0.750 Ni
0.000 0.000 0.500 Ir
0.500 0.500 0.000 Ir
```


[12]
Crystalline TbCe2CoHg at its relaxed geometry. Source: Alexandria via LeMat-Bulk, functional PBE-GGA.

Calculated values
Electronic total energy, eV per atom: -4.971
Symmetry: P4/mmm (123)
Crystal system: tetragonal

Cell and atoms, written as POSCAR:
```
TbCe2CoHg
1.0
4.926 0.000 0.000
0.000 4.926 0.000
0.000 0.000 5.507
Tb Ce Co Hg
1 2 1 1
direct
0.000 0.000 0.000 Tb
0.000 0.500 0.500 Ce
0.500 0.000 0.500 Ce
0.000 0.000 0.500 Co
0.500 0.500 0.000 Hg
```


[13]
Crystalline SrMgRu2 at its relaxed geometry. Source: Alexandria via LeMat-Bulk, functional PBE-GGA.

Calculated values
Electronic total energy, eV per atom: -4.823
Symmetry: Cmmm (65)
Crystal system: orthorhombic

Cell and atoms, written as POSCAR:
```
SrMgRu2
1.0
3.310 0.000 0.000
0.000 4.851 0.000
0.000 0.000 9.103
Sr Mg Ru
2 2 4
direct
0.000 0.000 0.000 Sr
0.500 0.500 0.000 Sr
0.000 0.000 0.500 Mg
0.500 0.500 0.500 Mg
0.000 0.500 0.270 Ru
0.000 0.500 0.730 Ru
0.500 0.000 0.270 Ru
0.500 0.000 0.730 Ru
```


[14]
Crystalline Ta2CoSi2 at its relaxed geometry. Source: Alexandria via LeMat-Bulk, functional PBE-GGA.

Calculated values
Uncorrected formation energy, eV/atom: -0.48
Symmetry: P4/mbm (127)
Crystal system: tetragonal

Cell and atoms, written as POSCAR:
```
Ta2CoSi2
1.0
5.973 0.000 0.000
0.000 5.973 0.000
0.000 0.000 4.009
Ta Co Si
4 2 4
direct
0.169 0.331 0.000 Ta
0.331 0.831 0.000 Ta
0.669 0.169 0.000 Ta
0.831 0.669 0.000 Ta
0.000 0.000 0.500 Co
0.500 0.500 0.500 Co
0.139 0.639 0.500 Si
0.361 0.139 0.500 Si
0.639 0.861 0.500 Si
0.861 0.361 0.500 Si
```


[15]
Crystalline ZnPd3Se at its relaxed geometry. Source: Alexandria via LeMat-Bulk, functional PBE-GGA.

Calculated values
Relative energy among the computed polymorphs, eV per formula unit: 0.00
Uncorrected formation energy, eV/atom: 0.18
Symmetry: Pm-3m (221)
Crystal system: cubic

Cell and atoms, written as POSCAR:
```
ZnPd3Se
1.0
4.677 0.000 0.000
0.000 4.677 0.000
0.000 0.000 4.677
Zn Pd Se
1 3 1
direct
0.000 0.000 0.000 Zn
0.000 0.500 0.500 Pd
0.500 0.000 0.500 Pd
0.500 0.500 0.000 Pd
0.500 0.500 0.500 Se
```


[16]
Crystalline CaSc2P at its relaxed geometry. Source: Alexandria via LeMat-Bulk, functional PBE-GGA.

Calculated values
Electronic total energy, eV per atom: -5.554
Symmetry: P4mm (99)
Crystal system: tetragonal

Cell and atoms, written as POSCAR:
```
CaSc2P
1.0
3.536 0.000 0.000
0.000 3.536 0.000
0.000 0.000 7.643
Ca Sc P
1 2 1
direct
0.000 0.000 0.000 Ca
0.000 0.000 0.395 Sc
0.500 0.500 0.645 Sc
0.500 0.500 0.267 P
```


[17]
Crystalline Ti12Ga3Hg at its relaxed geometry. Source: Alexandria via LeMat-Bulk, functional PBE-GGA.

Calculated values
Electronic total energy, eV per atom: -6.755
Symmetry: P4/mmm (123)
Crystal system: tetragonal

Cell and atoms, written as POSCAR:
```
Ti12Ga3Hg
1.0
4.048 0.000 0.000
0.000 4.048 0.000
0.000 0.000 16.193
Ti Ga Hg
12 3 1
direct
0.000 0.000 0.000 Ti
0.000 0.000 0.247 Ti
0.000 0.000 0.500 Ti
0.000 0.000 0.753 Ti
0.000 0.500 0.123 Ti
0.000 0.500 0.368 Ti
0.000 0.500 0.632 Ti
0.000 0.500 0.877 Ti
0.500 0.000 0.123 Ti
0.500 0.000 0.368 Ti
0.500 0.000 0.632 Ti
0.500 0.000 0.877 Ti
0.500 0.500 0.000 Ga
0.500 0.500 0.247 Ga
0.500 0.500 0.753 Ga
0.500 0.500 0.500 Hg
```


[18]
Crystalline Li4PdN at its relaxed geometry. Source: Alexandria via LeMat-Bulk, functional PBE-GGA.

Calculated values
Uncorrected formation energy, eV/atom: -0.17
Symmetry: Cmcm (63)
Crystal system: orthorhombic

Cell and atoms, written as POSCAR:
```
Li4PdN
1.0
1.968 -7.190 0.000
1.968 7.190 0.000
0.000 0.000 5.653
Li Pd N
8 2 2
direct
0.000 0.000 0.000 Li
0.000 0.000 0.500 Li
0.189 0.811 0.518 Li
0.189 0.811 0.982 Li
0.411 0.589 0.250 Li
0.589 0.411 0.750 Li
0.811 0.189 0.018 Li
0.811 0.189 0.482 Li
0.374 0.626 0.750 Pd
0.626 0.374 0.250 Pd
0.093 0.907 0.750 N
0.907 0.093 0.250 N
```


[19]
Crystalline Ba5GaRu2O11 at its relaxed geometry. Source: Alexandria via LeMat-Bulk, functional PBE-GGA.

Calculated values
Uncorrected formation energy, eV/atom: -2.07
Symmetry: Pnma (62)
Crystal system: orthorhombic

Cell and atoms, written as POSCAR:
```
Ba5GaRu2O11
1.0
19.067 0.000 0.000
0.000 5.914 0.000
0.000 0.000 11.236
Ba Ga Ru O
20 4 8 44
direct
0.027 0.250 0.106 Ba
0.071 0.250 0.470 Ba
0.137 0.750 0.688 Ba
0.169 0.750 0.042 Ba
0.250 0.250 0.866 Ba
0.250 0.750 0.366 Ba
0.331 0.250 0.542 Ba
0.363 0.250 0.188 Ba
0.429 0.750 0.970 Ba
0.473 0.750 0.606 Ba
0.527 0.250 0.394 Ba
0.571 0.250 0.030 Ba
0.637 0.750 0.812 Ba
0.669 0.750 0.458 Ba
0.750 0.250 0.634 Ba
0.750 0.750 0.134 Ba
0.831 0.250 0.958 Ba
0.863 0.250 0.312 Ba
0.929 0.750 0.530 Ba
0.973 0.750 0.894 Ba
0.189 0.250 0.233 Ga
0.311 0.750 0.733 Ga
0.689 0.250 0.267 Ga
0.811 0.750 0.767 Ga
0.061 0.750 0.294 Ru
0.063 0.250 0.787 Ru
0.437 0.750 0.287 Ru
0.439 0.250 0.794 Ru
0.561 0.750 0.206 Ru
0.563 0.250 0.713 Ru
0.937 0.750 0.213 Ru
0.939 0.250 0.706 Ru
0.015 0.017 0.671 O
0.015 0.483 0.671 O
0.029 0.750 0.119 O
0.098 0.015 0.889 O
0.098 0.485 0.889 O
0.098 0.750 0.452 O
0.133 0.508 0.243 O
0.133 0.992 0.243 O
0.148 0.250 0.688 O
0.232 0.250 0.087 O
0.250 0.250 0.360 O
0.250 0.750 0.860 O
0.268 0.750 0.587 O
0.352 0.750 0.188 O
0.367 0.008 0.743 O
0.367 0.492 0.743 O
0.402 0.250 0.952 O
0.402 0.515 0.389 O
0.402 0.985 0.389 O
0.471 0.250 0.619 O
0.485 0.517 0.171 O
0.485 0.983 0.171 O
0.515 0.017 0.829 O
0.515 0.483 0.829 O
0.529 0.750 0.381 O
0.598 0.015 0.611 O
0.598 0.485 0.611 O
0.598 0.750 0.048 O
0.633 0.508 0.257 O
0.633 0.992 0.257 O
0.648 0.250 0.812 O
0.732 0.250 0.413 O
0.750 0.250 0.140 O
0.750 0.750 0.640 O
0.768 0.750 0.913 O
0.852 0.750 0.312 O
0.867 0.008 0.757 O
0.867 0.492 0.757 O
0.902 0.250 0.548 O
0.902 0.515 0.111 O
0.902 0.985 0.111 O
0.971 0.250 0.881 O
0.985 0.517 0.329 O
0.985 0.983 0.329 O
```


[20]
Crystalline Ce2CuSi3 at its relaxed geometry. Source: Alexandria via LeMat-Bulk, functional PBE-GGA.

Calculated values
Relative energy among the computed polymorphs, eV per formula unit: 0.11
Uncorrected formation energy, eV/atom: -0.66
Symmetry: Pmm2 (25)
Crystal system: orthorhombic

Cell and atoms, written as POSCAR:
```
Ce2CuSi3
1.0
4.064 0.000 0.000
0.000 4.187 0.000
0.000 0.000 6.979
Ce Cu Si
2 1 3
direct
0.000 0.000 0.000 Ce
0.500 0.000 0.487 Ce
0.000 0.500 0.664 Cu
0.000 0.500 0.333 Si
0.500 0.500 0.158 Si
0.500 0.500 0.822 Si
```


We obtain calculated volume values of 22.55; 33.10; 31.18; 19.40; 29.34; 39.52; 19.11; 33.97; 31.72; 22.38; 12.15; 26.72; 18.27; 14.31; 20.46; 23.89; 16.58; 13.33; 16.67; 19.79 A^3/atom for the records listed above, in that order.